This record from the Alexandria database describes a relaxed ReOs2W crystal. The functional is PBE.

The space group is Pmmm (No. 47) and the conventional cell measures 2.764, 3.908 and 5.540 Å, with angles of 90.00, 90.00 and 90.00 degrees. The distinct sites, in fractional coordinates, are Re at (0.000, 0.000, 0.000), Os at (0.500, 0.500, 0.244) and W at (0.000, 0.000, 0.500).

The value obtained for the formation energy is 4 kJ/mol of atoms. The size of the total moment comes out at 0.00 Bohr magnetons per cell.